1.
This record from the Alexandria database describes an optimized crystal structure of Sm3Y8Ho3. The functional is GGA-PBE.

Cell: 9.680 9.680 9.680 Å, 145.96 112.03 78.24°
Atoms (fractional coordinates):
Sm: 0.000 0.000 0.000
Sm: 0.181 0.681 0.500
Sm: 0.819 0.319 0.500
Y: 0.120 0.279 0.841
Y: 0.239 0.897 0.342
Y: 0.438 0.279 0.159
Y: 0.445 0.103 0.342
Y: 0.555 0.897 0.658
Y: 0.562 0.721 0.841
Y: 0.761 0.103 0.658
Y: 0.880 0.721 0.159
Ho: 0.203 0.500 0.703
Ho: 0.500 0.500 0.000
Ho: 0.797 0.500 0.297

Computed properties:
M_tot in μB per cell: 0.00
Energy of formation in kJ/mol of atoms: 11.3


2.
This record from the Alexandria database describes an optimized crystal structure of GaAgSn. The functional is GGA-PBE.

Cell: 8.031 4.485 7.470 Å, 90.00 90.00 90.00°
Atoms (fractional coordinates):
Ga: 0.011 0.250 0.218
Ga: 0.489 0.750 0.718
Ga: 0.511 0.250 0.282
Ga: 0.989 0.750 0.782
Ag: 0.096 0.750 0.428
Ag: 0.404 0.250 0.928
Ag: 0.596 0.750 0.072
Ag: 0.904 0.250 0.572
Sn: 0.214 0.750 0.067
Sn: 0.286 0.250 0.567
Sn: 0.714 0.750 0.433
Sn: 0.786 0.250 0.933

Computed properties:
M_tot in μB per cell: 0.00
Energy of formation in kJ/mol of atoms: 4.8


3.
This record from the Alexandria database describes an optimized crystal structure of MoPtRh2. The functional is GGA-PBE.

Cell: 5.380 5.380 2.724 Å, 104.39 104.39 118.58°
Atoms (fractional coordinates):
Mo: 0.000 0.000 0.000
Pt: 0.500 0.500 0.000
Rh: 0.000 0.500 0.500
Rh: 0.500 0.000 0.500

Computed properties:
Polymorph energy (0 for the lowest one) in eV/atom: 0.275
M_tot in μB per cell: 0.00
Energy of formation in kJ/mol of atoms: 1.8